The following is a PBE calculation of ScTa2Fe after structural relaxation, from Alexandria via LeMat-Bulk.

Computed properties:
**Formation energy from the elements**: 0.237 eV per atom
**Polymorph energy (0 for the lowest one)**: 241 meV per atom
**D(E_F)**: 0.78 states/eV per atom
**Total magnetization**: 1.26 μB/f.u.
**Density**: 10.87 Mg/m³
**Raw total energy**: -9.39 eV/atom

```
ScTa2Fe
1.0
9.204 -0.006 -0.004
8.716 2.958 -0.004
8.716 1.436 2.587
Fe Ta Sc
1 2 1
direct
0.250 0.250 0.250 Fe
0.511 0.511 0.511 Ta
0.989 0.989 0.989 Ta
0.750 0.750 0.750 Sc
```